Record 1
{
  "formula": "SmY3Al",
  "functional": "PBE",
  "state": "optimized geometry",
  "cell": [[6.195, -7.023, 0.000], [6.195, 7.023, 0.000], [-1.327, 0.000, 6.996]],
  "species": ["Sm", "Sm", "Sm", "Sm", "Y", "Y", "Y", "Y", "Y", "Y", "Y", "Y", "Y", "Y", "Y", "Y", "Al", "Al", "Al", "Al"],
  "frac_coords": [[0.073, 0.703, 0.841], [0.297, 0.927, 0.659], [0.703, 0.073, 0.341], [0.927, 0.297, 0.159], [0.054, 0.177, 0.613], [0.177, 0.054, 0.113], [0.218, 0.524, 0.471], [0.236, 0.426, 0.976], [0.426, 0.236, 0.476], [0.476, 0.782, 0.029], [0.524, 0.218, 0.971], [0.574, 0.764, 0.524], [0.764, 0.574, 0.024], [0.782, 0.476, 0.529], [0.823, 0.946, 0.887], [0.946, 0.823, 0.387], [0.235, 0.765, 0.250], [0.490, 0.510, 0.750], [0.510, 0.490, 0.250], [0.765, 0.235, 0.750]],
  "formation_energy_ev_per_atom": 0.01,
  "e_above_lowest_polymorph_mev_per_atom": 156.8,
  "crystal_system": "monoclinic"
}

Record 2
{
  "formula": "CdCoSb",
  "functional": "PBE",
  "state": "optimized geometry",
  "cell": [[3.294, 0.000, 0.000], [-1.647, 2.853, 0.000], [0.000, 0.000, 6.440]],
  "species": ["Cd", "Co", "Sb"],
  "frac_coords": [[0.000, 0.000, 0.000], [0.667, 0.333, 0.304], [0.333, 0.667, 0.556]],
  "crystal_system": "trigonal",
  "e_form_raw_ev_per_atom": 0.19
}

Record 3
{
  "formula": "Pm2Th2Sc7",
  "functional": "PBE",
  "state": "optimized geometry",
  "cell": [[5.319, -5.411, 0.000], [5.319, 5.411, 0.000], [-2.391, 0.000, 5.375]],
  "species": ["Pm", "Pm", "Th", "Th", "Sc", "Sc", "Sc", "Sc", "Sc", "Sc", "Sc"],
  "frac_coords": [[0.204, 0.796, 0.000], [0.796, 0.204, 0.000], [0.396, 0.396, 0.674], [0.604, 0.604, 0.326], [0.000, 0.000, 0.500], [0.069, 0.590, 0.331], [0.247, 0.247, 0.067], [0.410, 0.931, 0.669], [0.590, 0.069, 0.331], [0.753, 0.753, 0.933], [0.931, 0.410, 0.669]],
  "formation_energy_ev_per_atom": 0.17,
  "crystal_system": "monoclinic"
}

Calculated energy, -5.563 -3.856 -6.075 eV per atom (same order as the records).
Calculated theoretical density, 4.845 8.041 5.736 Mg/m³ (same order as the records).
Calculated total magnetic moment, 0.0000 0.0000 0.0000 μB per atom (same order as the records).